Entry from the Alexandria database: an optimized crystal structure of LaNd10Dy4 (PBE-GGA).

a b c (Å): 6.9136 9.6958 9.6958
angles (deg): 82.70 69.11 69.11
Atoms (fractional coordinates):
Nd: 0.5358 0.8388 0.5821
Nd: 0.9566 0.1612 0.4179
Nd: 0.2500 0.5000 0.5000
Nd: 0.0434 0.8388 0.5821
Nd: 0.7500 0.5000 0.5000
Nd: 0.4642 0.1612 0.4179
Nd: 0.8821 0.5821 0.1612
Nd: 0.3746 0.5821 0.1612
Nd: 0.1179 0.4179 0.8388
Nd: 0.6254 0.4179 0.8388
Dy: 0.5673 0.1096 0.7558
Dy: 0.6769 0.7558 0.8904
Dy: 0.4327 0.8904 0.2442
Dy: 0.3231 0.2442 0.1096
La: 0.0000 0.0000 0.0000

Output
Spin magnetization ... 0.00 μB per cell
E ... -4.235 eV per atom

Entry from the Alexandria database: an optimized crystal structure of La2Nd3Dy2 (PBE-GGA).

a b c (Å): 3.6733 10.9988 8.1690
angles (deg): 94.21 47.56 90.02
Atoms (fractional coordinates):
La: 0.8522 0.8550 0.4319
La: 0.1478 0.1450 0.5681
Nd: 0.0000 0.0000 0.0000
Nd: 0.5746 0.5698 0.2836
Nd: 0.4254 0.4302 0.7164
Dy: 0.7103 0.7119 0.8597
Dy: 0.2897 0.2881 0.1403

Output
Spin magnetization ... 0.00 μB per cell
Energy above the lowest structure with this stoichiometry ... 0.0 meV per atom

Entry from the Alexandria database: an optimized crystal structure of La2Nd4Dy3 (PBE-GGA).

a b c (Å): 3.5997 9.9311 8.9523
angles (deg): 80.45 101.60 90.00
Atoms (fractional coordinates):
Nd: 0.6651 0.7801 0.3303
Nd: 0.4994 0.3329 0.9988
Nd: 0.5006 0.6671 0.0012
Nd: 0.3349 0.2199 0.6697
Dy: 0.1614 0.4618 0.3228
Dy: 0.8386 0.5382 0.6772
Dy: 0.0000 0.0000 0.0000
La: 0.6726 0.1251 0.3452
La: 0.3274 0.8749 0.6548

Output
Spin magnetization ... 0.00 μB per cell
Energy above the lowest structure with this stoichiometry ... 0.0 meV per atom

Entry from the Alexandria database: an optimized crystal structure of La4Nd4Dy (PBE-GGA).

a b c (Å): 6.3970 6.3992 12.2522
angles (deg): 84.77 63.84 48.30
Atoms (fractional coordinates):
La: 0.3825 0.4441 0.7810
La: 0.6175 0.5559 0.2190
La: 0.7267 0.1115 0.4426
La: 0.2733 0.8885 0.5574
Dy: 0.5000 0.0000 0.0000
Nd: 0.0597 0.7781 0.1092
Nd: 0.8290 0.6671 0.6693
Nd: 0.1710 0.3329 0.3307
Nd: 0.9403 0.2219 0.8908

Output
Spin magnetization ... 0.00 μB per cell
E ... -4.803 eV per atom

Entry from the Alexandria database: an optimized crystal structure of La5NdDy6 (PBE-GGA).

a b c (Å): 6.2207 7.3846 9.6490
angles (deg): 112.52 92.08 89.96
Atoms (fractional coordinates):
La: 0.3333 0.8340 0.6681
La: 0.0000 0.5000 0.0000
La: 0.3339 0.3333 0.6666
La: 0.6661 0.6667 0.3334
La: 0.6667 0.1660 0.3319
Dy: 0.5000 0.2493 0.0000
Dy: 0.8330 0.0834 0.6674
Dy: 0.1670 0.9166 0.3326
Dy: 0.5000 0.7507 0.0000
Dy: 0.1670 0.4160 0.3326
Dy: 0.8330 0.5840 0.6674
Nd: 0.0000 0.0000 0.0000

Output
Spin magnetization ... 0.00 μB per cell
E ... -4.728 eV per atom

Entry from the Alexandria database: an optimized crystal structure of La4Nd10Dy (PBE-GGA).

a b c (Å): 8.0304 9.1809 9.1809
angles (deg): 78.97 64.07 64.07
Atoms (fractional coordinates):
Dy: 0.0000 0.0000 0.0000
Nd: 0.7102 0.2099 0.7901
Nd: 0.4997 0.7901 0.7901
Nd: 0.2500 0.5000 0.5000
Nd: 0.2898 0.7901 0.2099
Nd: 0.2898 0.2099 0.7901
Nd: 0.0799 0.2099 0.2099
Nd: 0.5003 0.2099 0.2099
Nd: 0.9201 0.7901 0.7901
Nd: 0.7500 0.5000 0.5000
Nd: 0.7102 0.7901 0.2099
La: 0.2265 0.0005 0.5465
La: 0.7735 0.9995 0.4535
La: 0.7730 0.4535 0.0005
La: 0.2270 0.5465 0.9995

Output
Spin magnetization ... 0.00 μB per cell
E ... -4.585 eV per atom

Entry from the Alexandria database: an optimized crystal structure of LaNd14Dy (PBE-GGA).

a b c (Å): 7.3541 7.3541 10.4089
angles (deg): 90.00 90.00 90.01
Atoms (fractional coordinates):
Dy: 0.3746 0.6254 0.0000
Nd: 0.1265 0.8735 0.2493
Nd: 0.8745 0.6246 0.0000
Nd: 0.8754 0.6254 0.5000
Nd: 0.1265 0.8735 0.7507
Nd: 0.3752 0.6248 0.5000
Nd: 0.8746 0.1254 0.5000
Nd: 0.3754 0.1255 0.0000
Nd: 0.6234 0.8734 0.2493
Nd: 0.3746 0.1246 0.5000
Nd: 0.1266 0.3766 0.7507
Nd: 0.6236 0.3764 0.7506
Nd: 0.6236 0.3764 0.2494
Nd: 0.6234 0.8734 0.7507
Nd: 0.1266 0.3766 0.2493
La: 0.8754 0.1246 0.0000

Output
Spin magnetization ... 0.00 μB per cell
E ... -4.755 eV per atom

Entry from the Alexandria database: an optimized crystal structure of La2Nd2Dy7 (PBE-GGA).

a b c (Å): 8.1728 10.5626 8.1728
angles (deg): 126.29 88.58 53.71
Atoms (fractional coordinates):
Dy: 0.3417 0.9218 0.6583
Dy: 0.7619 0.3286 0.7640
Dy: 0.7640 0.6714 0.7619
Dy: 0.2381 0.6714 0.2360
Dy: 0.2360 0.3286 0.2381
Dy: 0.6583 0.0782 0.3417
Dy: 0.0000 0.5000 0.0000
La: 0.2890 0.0000 0.2890
La: 0.7110 0.0000 0.7110
Nd: 0.2165 0.6866 0.7835
Nd: 0.7835 0.3134 0.2165

Output
Spin magnetization ... 0.00 μB per cell
Energy above the lowest structure with this stoichiometry ... 0.0 meV per atom

Entry from the Alexandria database: an optimized crystal structure of LaNd6Dy6 (PBE-GGA).

a b c (Å): 6.7505 6.7505 11.5352
angles (deg): 90.00 90.00 119.99
Atoms (fractional coordinates):
Nd: 0.6667 0.3333 0.5000
Nd: 0.0000 0.0000 0.3506
Nd: 0.3334 0.6666 0.0000
Nd: 0.0000 0.0000 0.6494
Nd: 0.6666 0.3334 0.0000
Nd: 0.3333 0.6667 0.5000
Dy: 0.5000 0.5000 0.2489
Dy: 0.5000 0.0000 0.7511
Dy: 0.0000 0.5000 0.2489
Dy: 0.5000 0.0000 0.2489
Dy: 0.5000 0.5000 0.7511
Dy: 0.0000 0.5000 0.7511
La: 0.0000 0.0000 0.0000

Output
Spin magnetization ... 0.02 μB per cell
E ... -4.460 eV per atom

Entry from the Alexandria database: an optimized crystal structure of LaNd3Dy6 (PBE-GGA).

a b c (Å): 6.9439 9.9389 9.9389
angles (deg): 93.43 90.00 90.00
Atoms (fractional coordinates):
Dy: 0.1992 0.4887 0.2798
Dy: 0.8089 0.9465 0.5247
Dy: 0.7485 0.0104 0.9896
Dy: 0.1992 0.7202 0.5113
Dy: 0.0119 0.7884 0.2116
Dy: 0.3089 0.5247 0.9465
Dy: 0.5119 0.2116 0.7884
Dy: 0.2485 0.9896 0.0104
Dy: 0.3089 0.0535 0.4753
Dy: 0.6992 0.5113 0.7202
Dy: 0.8089 0.4753 0.0535
Dy: 0.6992 0.2798 0.4887
Nd: 0.2093 0.4000 0.6000
Nd: 0.9878 0.1725 0.2431
Nd: 0.7093 0.6000 0.4000
Nd: 0.4878 0.2431 0.1725
Nd: 0.4878 0.8275 0.7569
Nd: 0.9878 0.7569 0.8275
La: 0.0239 0.1909 0.8091
La: 0.5239 0.8091 0.1909

Output
Spin magnetization ... 0.00 μB per cell
Energy above the lowest structure with this stoichiometry ... 0.0 meV per atom

Entry from the Alexandria database: an optimized crystal structure of La7Nd4Dy (PBE-GGA).

a b c (Å): 6.1677 9.9517 8.9093
angles (deg): 60.29 69.75 71.95
Atoms (fractional coordinates):
Nd: 0.6724 0.6052 0.0500
Nd: 0.4259 0.7015 0.4468
Nd: 0.5741 0.2985 0.5532
Nd: 0.3276 0.3948 0.9500
La: 0.5000 0.0000 0.0000
La: 0.0810 0.5687 0.2694
La: 0.2058 0.1270 0.4614
La: 0.7931 0.2165 0.1973
La: 0.7942 0.8730 0.5386
La: 0.2069 0.7835 0.8027
La: 0.9190 0.4313 0.7306
Dy: 0.0000 0.0000 0.0000

Output
Spin magnetization ... 0.41 μB per cell
Energy above the lowest structure with this stoichiometry ... 180.0 meV per atom

Entry from the Alexandria database: an optimized crystal structure of La2NdDyO (PBE-GGA).

a b c (Å): 4.7335 5.3385 5.3385
angles (deg): 90.00 90.00 90.00
Atoms (fractional coordinates):
Nd: 0.5000 0.5000 0.5000
O: 0.0000 0.0000 0.0000
Dy: 0.5000 0.0000 0.0000
La: 0.0000 0.5000 0.0000
La: 0.0000 0.0000 0.5000

Output
Spin magnetization ... 0.00 μB per cell
Uncorrected formation energy ... -1.133 eV/atom

Entry from the Alexandria database: an optimized crystal structure of La3NdDy2P6 (PBE-GGA).

a b c (Å): 7.2208 7.2208 7.2220
angles (deg): 99.59 99.59 120.00
Atoms (fractional coordinates):
P: 0.5816 0.9201 0.7604
P: 0.4184 0.0799 0.2396
P: 0.7410 0.7410 0.2389
P: 0.0799 0.4184 0.2396
P: 0.2590 0.2590 0.7611
P: 0.9201 0.5816 0.7604
Dy: 0.3330 0.6670 0.0000
Dy: 0.6670 0.3330 0.0000
Nd: 0.0000 0.0000 0.0000
La: 0.5000 0.5000 0.5000
La: 0.8341 0.1659 0.5000
La: 0.1659 0.8341 0.5000

Output
Spin magnetization ... 0.00 μB per cell
E ... -6.670 eV per atom

Entry from the Alexandria database: an optimized crystal structure of LaNd2DyP4 (PBE-GGA).

a b c (Å): 4.1590 7.1968 7.1959
angles (deg): 70.59 90.00 90.00
Atoms (fractional coordinates):
Nd: 0.5000 0.0000 0.5000
Nd: 0.0000 0.0000 0.0000
P: 0.5000 0.2549 0.7424
P: 0.0000 0.2505 0.2562
P: 0.0000 0.7495 0.7438
P: 0.5000 0.7451 0.2576
La: 0.5000 0.5000 0.0000
Dy: 0.0000 0.5000 0.5000

Output
Spin magnetization ... 0.00 μB per cell
E ... -6.639 eV per atom

Entry from the Alexandria database: an optimized crystal structure of LaNd3Dy2P6 (PBE-GGA).

a b c (Å): 7.1611 7.1611 7.1602
angles (deg): 99.60 99.60 120.00
Atoms (fractional coordinates):
Nd: 0.8344 0.1656 0.5000
Nd: 0.5000 0.5000 0.5000
Nd: 0.1656 0.8344 0.5000
La: 0.0000 0.0000 0.0000
Dy: 0.3330 0.6670 0.0000
Dy: 0.6670 0.3330 0.0000
P: 0.4224 0.0818 0.2452
P: 0.7407 0.7407 0.2443
P: 0.9182 0.5776 0.7548
P: 0.0818 0.4224 0.2452
P: 0.2593 0.2593 0.7557
P: 0.5776 0.9182 0.7548

Output
Spin magnetization ... 0.00 μB per cell
E ... -6.630 eV per atom

Entry from the Alexandria database: an optimized crystal structure of LaPmNd2Dy5 (PBE-GGA).

a b c (Å): 8.7625 8.7625 10.0102
angles (deg): 115.96 115.96 90.00
Atoms (fractional coordinates):
Dy: 0.5000 0.5000 0.0000
Dy: 0.3446 0.8446 0.2728
Dy: 0.8446 0.9282 0.2728
Dy: 0.9282 0.4282 0.2728
Dy: 0.0718 0.5718 0.7272
Dy: 0.0000 0.0000 0.0000
Dy: 0.5718 0.6554 0.7272
Dy: 0.6554 0.1554 0.7272
Dy: 0.1554 0.0718 0.7272
Dy: 0.4282 0.3446 0.2728
Nd: 0.1179 0.3821 0.0000
Nd: 0.8821 0.6179 0.0000
Nd: 0.3821 0.8821 0.0000
Nd: 0.6179 0.1179 0.0000
La: 0.7500 0.7500 0.5000
La: 0.2500 0.2500 0.5000
Pm: 0.2500 0.7500 0.5000
Pm: 0.7500 0.2500 0.5000

Output
Spin magnetization ... 0.00 μB per cell
E ... -4.446 eV per atom

Entry from the Alexandria database: an optimized crystal structure of La3PmNd2Dy6 (PBE-GGA).

a b c (Å): 6.3041 6.3041 11.8857
angles (deg): 95.06 95.06 120.01
Atoms (fractional coordinates):
La: 0.8333 0.1667 0.5000
La: 0.5000 0.5000 0.5000
La: 0.1667 0.8333 0.5000
Dy: 0.2507 0.2507 0.7522
Dy: 0.0824 0.4156 0.2478
Dy: 0.9176 0.5844 0.7522
Dy: 0.7493 0.7493 0.2478
Dy: 0.5844 0.9176 0.7522
Dy: 0.4156 0.0824 0.2478
Pm: 0.0000 0.0000 0.0000
Nd: 0.3334 0.6666 0.0000
Nd: 0.6666 0.3334 0.0000

Output
Spin magnetization ... 0.00 μB per cell
E ... -4.711 eV per atom

Entry from the Alexandria database: an optimized crystal structure of LaPmNdDy2 (PBE-GGA).

a b c (Å): 7.2455 8.5237 7.2313
angles (deg): 126.11 90.00 90.00
Atoms (fractional coordinates):
Dy: 0.5000 0.6875 0.0000
Dy: 0.0000 0.3125 0.0000
Dy: 0.5000 0.3125 0.0000
Dy: 0.0000 0.6875 0.0000
La: 0.7500 0.7343 0.4686
La: 0.2500 0.2657 0.5314
Pm: 0.2500 0.7224 0.4448
Pm: 0.7500 0.2776 0.5552
Nd: 0.2500 0.0000 0.9999
Nd: 0.7500 0.0000 0.0001

Output
Spin magnetization ... 0.00 μB per cell
E ... -4.391 eV per atom

Entry from the Alexandria database: an optimized crystal structure of LaPm2Nd2Dy2 (PBE-GGA).

a b c (Å): 3.5782 6.2015 12.1012
angles (deg): 71.31 90.00 106.77
Atoms (fractional coordinates):
Dy: 0.2234 0.4468 0.6381
Dy: 0.7766 0.5532 0.3619
Pm: 0.5530 0.1060 0.2285
Pm: 0.4470 0.8940 0.7715
Nd: 0.6674 0.3348 0.9178
Nd: 0.3326 0.6652 0.0822
La: 0.0000 0.0000 0.5000

Output
Spin magnetization ... 0.00 μB per cell
E ... -4.653 eV per atom

Entry from the Alexandria database: an optimized crystal structure of La4Pm2NdDy (PBE-GGA).

a b c (Å): 5.2667 5.2350 11.5298
angles (deg): 62.95 90.00 90.00
Atoms (fractional coordinates):
Nd: 0.5000 0.5000 0.0000
La: 0.0000 0.7529 0.7477
La: 0.5000 0.2522 0.7482
La: 0.0000 0.2471 0.2523
La: 0.5000 0.7478 0.2518
Pm: 0.5000 0.0000 0.5000
Pm: 0.0000 0.0000 0.0000
Dy: 0.0000 0.5000 0.5000

Output
Spin magnetization ... 0.00 μB per cell
E ... -4.808 eV per atom